DFT (PBE-GGA) results for an optimized crystal structure of TbCrFeC2.

## Properties
Symmetry = I-4m2
Calculated volume = 120.2 Å³/cell
M_tot = 1.1 Bohr magnetons per cell
VASP energy = -0.6158 Ry per atom

Lattice parameters (Å, degrees): 3.5212 3.5212 9.6954 90.00 90.00 90.00
Sites, in units of the cell vectors:
Tb 0.0000 0.0000 0.0000
Tb 0.5000 0.5000 0.5000
Cr 0.0000 0.5000 0.7500
Cr 0.5000 0.0000 0.2500
Fe 0.0000 0.5000 0.2500
Fe 0.5000 0.0000 0.7500
C 0.0000 0.0000 0.3380
C 0.0000 0.0000 0.6620
C 0.5000 0.5000 0.1620
C 0.5000 0.5000 0.8380